The following is a meta-GGA SCAN calculation of a PBEsol-optimized structure of Zr2Mn, from the Alexandria database.

a = 3.198 Å, b = 4.821 Å, c = 7.087 Å
α = 90.00°, β = 103.04°, γ = 90.00°
Fractional coordinates of all 6 atoms:
1 Mn 0.925 0.750 0.850
2 Zr 0.722 0.250 0.443
3 Zr 0.427 0.250 0.854
4 Zr 0.278 0.750 0.557
5 Mn 0.075 0.250 0.150
6 Zr 0.573 0.750 0.146

Final energy, Ry per atom: -1.9534